## Cs2TiPtO4 (PBE)

Data for a relaxed structure of Cs2TiPtO4.

Structure (CIF):
```
data_Cs2TiPtO4
_symmetry_space_group_name_H-M 'F d d d'
_symmetry_Int_Tables_number 70
_cell_length_a 5.4618
_cell_length_b 13.0899
_cell_length_c 22.0558
_cell_angle_alpha 90.00
_cell_angle_beta 90.00
_cell_angle_gamma 90.00
loop_
_symmetry_equiv_pos_as_xyz
'x,y,z'
'-x,-y,-z'
'-x+1/4,-y+1/4,z'
'x+1/4,y+1/4,-z'
'x,-y+1/4,-z+1/4'
'-x,y+1/4,z+1/4'
'-x+1/4,y,-z+1/4'
'x+1/4,-y,z+1/4'
'x,y+1/2,z+1/2'
'-x,-y+1/2,-z+1/2'
'-x+1/4,-y+3/4,z+1/2'
'x+1/4,y+3/4,-z+1/2'
'x,-y+3/4,-z+3/4'
'-x,y+3/4,z+3/4'
'-x+1/4,y+1/2,-z+3/4'
'x+1/4,-y+1/2,z+3/4'
'x+1/2,y,z+1/2'
'-x+1/2,-y,-z+1/2'
'-x+3/4,-y+1/4,z+1/2'
'x+3/4,y+1/4,-z+1/2'
'x+1/2,-y+1/4,-z+3/4'
'-x+1/2,y+1/4,z+3/4'
'-x+3/4,y,-z+3/4'
'x+3/4,-y,z+3/4'
'x+1/2,y+1/2,z'
'-x+1/2,-y+1/2,-z'
'-x+3/4,-y+3/4,z'
'x+3/4,y+3/4,-z'
'x+1/2,-y+3/4,-z+1/4'
'-x+1/2,y+3/4,z+1/4'
'-x+3/4,y+1/2,-z+1/4'
'x+3/4,-y+1/2,z+1/4'
loop_
_atom_site_label
_atom_site_type_symbol
_atom_site_fract_x
_atom_site_fract_y
_atom_site_fract_z
Cs1 Cs 0.1250 0.1250 0.3048
Ti1 Ti 0.1250 0.1250 0.1250
Pt1 Pt 0.1250 0.1250 0.6250
O1 O 0.0924 0.2789 0.4064
```



## Cs2TmPtO4 (PBE)

Data for a relaxed structure of Cs2TmPtO4.

Structure (CIF):
```
data_Cs2TmPtO4
_symmetry_space_group_name_H-M 'F d d d'
_symmetry_Int_Tables_number 70
_cell_length_a 5.9917
_cell_length_b 14.2029
_cell_length_c 23.1163
_cell_angle_alpha 90.00
_cell_angle_beta 90.00
_cell_angle_gamma 90.00
loop_
_symmetry_equiv_pos_as_xyz
'x,y,z'
'-x,-y,-z'
'-x+1/4,-y+1/4,z'
'x+1/4,y+1/4,-z'
'x,-y+1/4,-z+1/4'
'-x,y+1/4,z+1/4'
'-x+1/4,y,-z+1/4'
'x+1/4,-y,z+1/4'
'x,y+1/2,z+1/2'
'-x,-y+1/2,-z+1/2'
'-x+1/4,-y+3/4,z+1/2'
'x+1/4,y+3/4,-z+1/2'
'x,-y+3/4,-z+3/4'
'-x,y+3/4,z+3/4'
'-x+1/4,y+1/2,-z+3/4'
'x+1/4,-y+1/2,z+3/4'
'x+1/2,y,z+1/2'
'-x+1/2,-y,-z+1/2'
'-x+3/4,-y+1/4,z+1/2'
'x+3/4,y+1/4,-z+1/2'
'x+1/2,-y+1/4,-z+3/4'
'-x+1/2,y+1/4,z+3/4'
'-x+3/4,y,-z+3/4'
'x+3/4,-y,z+3/4'
'x+1/2,y+1/2,z'
'-x+1/2,-y+1/2,-z'
'-x+3/4,-y+3/4,z'
'x+3/4,y+3/4,-z'
'x+1/2,-y+3/4,-z+1/4'
'-x+1/2,y+3/4,z+1/4'
'-x+3/4,y+1/2,-z+1/4'
'x+3/4,-y+1/2,z+1/4'
loop_
_atom_site_label
_atom_site_type_symbol
_atom_site_fract_x
_atom_site_fract_y
_atom_site_fract_z
Cs1 Cs 0.1250 0.1250 0.3084
Tm1 Tm 0.1250 0.1250 0.1250
Pt1 Pt 0.1250 0.1250 0.6250
O1 O 0.1132 0.2757 0.8638
```



## Cs2UPt3O12 (PBE)

Data for a relaxed structure of Cs2UPt3O12.

Structure (CIF):
```
data_Cs2UPt3O12
_symmetry_space_group_name_H-M 'R -3 m'
_symmetry_Int_Tables_number 166
_symmetry_space_group_name_Hall '-R 3 2"'
_cell_length_a 7.2799
_cell_length_b 7.2799
_cell_length_c 19.0818
_cell_angle_alpha 90.00
_cell_angle_beta 90.00
_cell_angle_gamma 120.00
loop_
_atom_site_label
_atom_site_type_symbol
_atom_site_fract_x
_atom_site_fract_y
_atom_site_fract_z
Cs1 Cs 0.0000 0.0000 0.1220
U1 U 0.0000 0.0000 0.5000
Pt1 Pt 0.0000 0.5000 0.0000
O1 O 0.0644 0.5322 0.3550
O2 O 0.0712 0.5356 0.1021
```



Number 1: formation energy (no corrections) -12.71 eV/f.u., calculated total energy -385.5 eV for the cell shown. Number 2: formation energy (no corrections) -11.78 eV/f.u., calculated total energy -350.7 eV for the cell shown. Number 3: formation energy (no corrections) -22.21 eV/f.u., calculated total energy -338.5 eV for the cell shown.